Compound: La5PrHoTm2
Source: the Alexandria database
Functional: PBE-GGA
Structure: optimized geometry

Properties
Crystal system: orthorhombic
Energy of formation from the pure elements (eV per atom): 0.129

Unit cell a=5.5053 b=21.6250 c=10.7326 alpha=90.00 beta=90.00 gamma=90.00
Closest atoms and distances in Å follow each position.
Space group Cmc2_1 (No. 36)
Inequivalent atoms, fractional coordinates:
1 La 0.0000 0.9998 0.0000  2 Ho 3.44, 4 Tm 3.67, 6 La 3.77-3.84
2 La 0.0000 0.1226 0.2503  1 Pr 3.52, 5 La 3.77-3.93, 4 Tm 3.87
3 La 0.0000 0.2199 0.9416  2 La 3.29, 1 Ho 3.31, 3 Pr 3.43-3.61, 3 Tm 3.66-3.68
4 La 0.0000 0.2206 0.5604  2 La 3.29, 1 Ho 3.31, 3 Pr 3.43-3.60, 3 Tm 3.66-3.68
5 La 0.0000 0.4997 0.2501  2 Ho 3.49, 4 Tm 3.59-3.65, 6 La 3.83-3.84
6 Pr 0.0000 0.2852 0.2509  7 La 3.43-3.61, 2 Tm 3.46, 2 Ho 3.71
7 Ho 0.0000 0.0998 0.7502  6 La 3.31-3.49
8 Tm 0.0000 0.3875 0.0029  1 Pr 3.46, 9 La 3.59-3.87, 2 Ho 3.83
9 Tm 0.0000 0.3880 0.4974  1 Pr 3.46, 7 La 3.59-3.68, 2 Ho 3.83

=====

Compound: ScAlZnIr
Source: the Alexandria database
Functional: PBE-GGA
Structure: optimized geometry

Properties
Crystal system: cubic
Energy of formation from the pure elements (eV per atom): -0.454

Unit cell a=6.3480 b=6.3480 c=6.3480 alpha=90.00 beta=90.00 gamma=90.00
Closest atoms and distances in Å follow each position.
Space group F-43m (No. 216)
Inequivalent atoms, fractional coordinates:
1 Sc 0.0000 0.0000 0.0000  4 Al 2.75, 4 Ir 2.75
2 Al 0.2500 0.2500 0.2500  4 Sc 2.75, 4 Zn 2.75
3 Zn 0.0000 0.0000 0.5000  4 Ir 2.75, 4 Al 2.75
4 Ir 0.2500 0.2500 0.7500  4 Sc 2.75, 4 Zn 2.75

=====

Compound: GaRhO4
Source: the Alexandria database
Functional: PBE-GGA
Structure: optimized geometry

Properties
Crystal system: monoclinic
Formation energy without anion corrections (meV/atom): -1063

Unit cell a=5.5453 b=4.5523 c=5.4869 alpha=90.00 beta=112.13 gamma=90.00
Closest atoms and distances in Å follow each position.
Space group P2_1/c (No. 14)
Inequivalent atoms, fractional coordinates:
1 Ga 0.0000 0.0000 0.0000  6 O 1.97-2.02
2 Rh 0.5000 0.0000 0.5000  6 O 1.95-1.98
3 O 0.1545 0.1924 0.3456  2 Ga 1.97-1.99, 1 Rh 1.98
4 O 0.3493 0.7037 0.6561  2 Rh 1.95-1.98, 1 Ga 2.02

=====

Compound: Tb4TmAg2
Source: the Alexandria database
Functional: PBE-GGA
Structure: optimized geometry

Properties
Crystal system: trigonal
Energy of formation from the pure elements (eV per atom): 0.107

Unit cell a=5.4172 b=5.4172 c=24.9876 alpha=90.00 beta=90.00 gamma=120.00
Closest atoms and distances in Å follow each position.
Space group R-3m (No. 166, hexagonal axes)
Inequivalent atoms, fractional coordinates:
1 Tb 0.0000 0.0000 0.1270  3 Tm 3.28, 4 Tb 3.51-3.58, 3 Ag 3.62
2 Tb 0.0000 0.0000 0.2703  4 Ag 2.94-3.14
3 Tm 0.0000 0.0000 0.5000  2 Ag 2.80
4 Ag 0.0000 0.0000 0.3878  1 Tm 2.80, 4 Tb 2.94-3.14

=====

Compound: Nd4ErSb5
Source: the Alexandria database
Functional: PBE-GGA
Structure: optimized geometry

Properties
Crystal system: tetragonal
Formation energy without anion corrections (meV/atom): -1162

Unit cell a=10.0419 b=10.0419 c=6.3579 alpha=90.00 beta=90.00 gamma=90.00
Closest atoms and distances in Å follow each position.
Space group I4/m (No. 87)
Inequivalent atoms, fractional coordinates:
1 Nd 0.0976 0.6994 0.0000  6 Sb 3.17-3.21
2 Er 0.0000 0.0000 0.5000  6 Sb 3.11-3.18
3 Sb 0.0000 0.0000 0.0000  4 Nd 3.17, 2 Er 3.18
4 Sb 0.0987 0.7060 0.5000  1 Er 3.11, 5 Nd 3.18-3.21